# DyY3Ho2Er6, relaxed, DFT PBE
data_DyY3Ho2Er6
_space_group_name_H-M_alt 'C 1 2/m 1'
_space_group_IT_number 12
_cell_length_a 6.114
_cell_length_b 10.576
_cell_length_c 11.698
_cell_angle_alpha 90.00
_cell_angle_beta 99.99
_cell_angle_gamma 90.00
loop_
_space_group_symop_operation_xyz
'x,y,z'
'-x,-y,-z'
'-x,y,-z'
'x,-y,z'
'x+1/2,y+1/2,z'
'-x+1/2,-y+1/2,-z'
'-x+1/2,y+1/2,-z'
'x+1/2,-y+1/2,z'
loop_
_atom_site_label
_atom_site_fract_x
_atom_site_fract_y
_atom_site_fract_z
_atom_site_occupancy
Dy1 0.000 0.000 0.000 1
Y1 0.000 0.167 0.500 1
Y2 0.000 0.500 0.500 1
Ho1 0.000 0.333 0.000 1
Er1 0.250 0.000 0.751 1
Er2 0.250 0.167 0.248 1
# - density of states at the Fermi level (states/eV/f.u.) = 17.2
# - formation energy from the elements (meV/atom) = 23.5

=====

# CaNiC, relaxed, DFT PBE
data_CaNiC
_space_group_name_H-M_alt 'C 1 2/m 1'
_space_group_IT_number 12
_cell_length_a 7.484
_cell_length_b 4.343
_cell_length_c 6.485
_cell_angle_alpha 90.00
_cell_angle_beta 112.85
_cell_angle_gamma 90.00
loop_
_space_group_symop_operation_xyz
'x,y,z'
'-x,-y,-z'
'-x,y,-z'
'x,-y,z'
'x+1/2,y+1/2,z'
'-x+1/2,-y+1/2,-z'
'-x+1/2,y+1/2,-z'
'x+1/2,-y+1/2,z'
loop_
_atom_site_label
_atom_site_fract_x
_atom_site_fract_y
_atom_site_fract_z
_atom_site_occupancy
Ca1 0.093 0.000 0.281 1
Ni1 0.140 0.500 0.921 1
C1 0.036 0.500 0.610 1
# - density of states at the Fermi level (states/eV/f.u.) = 2.1
# - polymorph energy (0 for the lowest one) (kJ/mol of atoms) = 10.23
# - formation energy from the elements (meV/atom) = 30.0